DFT (PBE-GGA) results for a geometry-optimized CsRb2MgHg structure. Values from VASP.

The structure in Quantum ESPRESSO input format:
```
&SYSTEM
  ibrav = 0, nat = 5, ntyp = 4
/
ATOMIC_SPECIES
Rb 85.47 Rb.upf
Mg 24.30 Mg.upf
Hg 200.59 Hg.upf
Cs 132.91 Cs.upf
CELL_PARAMETERS angstrom
7.511 0.000 0.000
0.000 7.511 0.000
0.000 0.000 5.540
ATOMIC_POSITIONS crystal
Rb 0.500 0.000 0.000
Mg 0.000 0.000 0.000
Rb 0.000 0.500 0.000
Hg 0.000 0.000 0.500
Cs 0.500 0.500 0.500
```

Calculated values
Offset from the most stable computed form   65.0 meV/atom
Formation energy from the elements   1.81 kcal/mol of atoms
Symmetry   No. 123

=====

DFT (PBE-GGA) results for a geometry-optimized CsMgHg2Rh structure. Values from VASP.

The structure in Quantum ESPRESSO input format:
```
&SYSTEM
  ibrav = 0, nat = 5, ntyp = 4
/
ATOMIC_SPECIES
Rh 102.91 Rh.upf
Cs 132.91 Cs.upf
Mg 24.30 Mg.upf
Hg 200.59 Hg.upf
CELL_PARAMETERS angstrom
-4.968 -0.115 -2.269
0.983 -5.027 -1.897
-1.902 -1.982 4.265
ATOMIC_POSITIONS crystal
Rh 0.000 0.000 0.000
Cs 0.500 0.500 0.500
Mg 0.000 0.000 0.500
Hg 0.500 0.000 0.000
Hg 0.000 0.500 0.000
```

Calculated values
Formation energy from the elements   -3.59 kcal/mol of atoms
Symmetry   No. 123

=====

DFT (PBE-GGA) results for a geometry-optimized CsMg2HgRh structure. Values from VASP.

The structure in Quantum ESPRESSO input format:
```
&SYSTEM
  ibrav = 0, nat = 5, ntyp = 4
/
ATOMIC_SPECIES
Mg 24.30 Mg.upf
Rh 102.91 Rh.upf
Cs 132.91 Cs.upf
Hg 200.59 Hg.upf
CELL_PARAMETERS angstrom
5.174 0.000 0.000
0.000 5.174 0.000
0.000 0.000 5.506
ATOMIC_POSITIONS crystal
Mg 0.500 0.000 0.000
Rh 0.000 0.000 0.000
Cs 0.500 0.500 0.500
Hg 0.000 0.000 0.500
Mg 0.000 0.500 0.000
```

Calculated values
Formation energy from the elements   -2.65 kcal/mol of atoms
Symmetry   No. 123

=====

DFT (PBE-GGA) results for a geometry-optimized CsMgHgS2 structure. Values from VASP.

The structure in Quantum ESPRESSO input format:
```
&SYSTEM
  ibrav = 0, nat = 10, ntyp = 4
/
ATOMIC_SPECIES
Mg 24.30 Mg.upf
Hg 200.59 Hg.upf
S 32.06 S.upf
Cs 132.91 Cs.upf
CELL_PARAMETERS angstrom
-2.046 -1.808 6.743
7.223 -2.770 1.449
-0.620 5.947 1.406
ATOMIC_POSITIONS crystal
Mg 0.500 0.000 0.250
Hg 0.000 0.000 0.500
Mg 0.500 0.000 0.750
S 0.677 0.200 0.600
Hg 0.000 0.000 0.000
S 0.677 0.800 0.900
S 0.323 0.200 0.100
S 0.323 0.800 0.400
Cs 0.725 0.500 0.250
Cs 0.275 0.500 0.750
```

Calculated values
ΔE_f (raw)   -0.8389 eV per atom
Symmetry   No. 13

=====

DFT (PBE-GGA) results for a geometry-optimized CsMgHg2Se structure. Values from VASP.

The structure in Quantum ESPRESSO input format:
```
&SYSTEM
  ibrav = 0, nat = 5, ntyp = 4
/
ATOMIC_SPECIES
Hg 200.59 Hg.upf
Se 78.96 Se.upf
Cs 132.91 Cs.upf
Mg 24.30 Mg.upf
CELL_PARAMETERS angstrom
-4.598 -2.583 -2.237
2.699 -5.046 0.278
-1.920 -0.760 4.824
ATOMIC_POSITIONS crystal
Hg 0.500 0.000 0.000
Se 0.000 0.000 0.500
Cs 0.500 0.500 0.500
Mg 0.000 0.000 0.000
Hg 0.000 0.500 0.000
```

Calculated values
ΔE_f (raw)   -0.4651 eV per atom
Symmetry   No. 123

=====

DFT (PBE-GGA) results for a geometry-optimized CsMgSnHg2 structure. Values from VASP.

The structure in Quantum ESPRESSO input format:
```
&SYSTEM
  ibrav = 0, nat = 5, ntyp = 4
/
ATOMIC_SPECIES
Sn 118.71 Sn.upf
Hg 200.59 Hg.upf
Mg 24.30 Mg.upf
Cs 132.91 Cs.upf
CELL_PARAMETERS angstrom
5.790 0.000 0.000
0.000 5.790 0.000
0.000 0.000 5.518
ATOMIC_POSITIONS crystal
Sn 0.000 0.000 0.500
Hg 0.500 0.000 0.000
Mg 0.000 0.000 0.000
Hg 0.000 0.500 0.000
Cs 0.500 0.500 0.500
```

Calculated values
Offset from the most stable computed form   0.0 meV/atom
Formation energy from the elements   -1.07 kcal/mol of atoms
Symmetry   No. 123

=====

DFT (PBE-GGA) results for a geometry-optimized CsMgSnHg2 structure. Values from VASP.

The structure in Quantum ESPRESSO input format:
```
&SYSTEM
  ibrav = 0, nat = 5, ntyp = 4
/
ATOMIC_SPECIES
Mg 24.30 Mg.upf
Hg 200.59 Hg.upf
Cs 132.91 Cs.upf
Sn 118.71 Sn.upf
CELL_PARAMETERS angstrom
-0.690 -5.631 2.194
5.076 0.658 3.287
-2.991 2.010 4.217
ATOMIC_POSITIONS crystal
Mg 0.000 0.000 0.500
Hg 0.500 0.000 0.000
Cs 0.500 0.500 0.500
Hg 0.000 0.500 0.000
Sn 0.000 0.000 0.000
```

Calculated values
Offset from the most stable computed form   43.4 meV/atom
Formation energy from the elements   -0.07 kcal/mol of atoms
Symmetry   No. 123

=====

DFT (PBE-GGA) results for a geometry-optimized CsMgHg2Te structure. Values from VASP.

The structure in Quantum ESPRESSO input format:
```
&SYSTEM
  ibrav = 0, nat = 5, ntyp = 4
/
ATOMIC_SPECIES
Hg 200.59 Hg.upf
Cs 132.91 Cs.upf
Te 127.60 Te.upf
Mg 24.30 Mg.upf
CELL_PARAMETERS angstrom
-5.374 1.830 0.782
0.053 -2.120 5.324
1.986 4.989 1.967
ATOMIC_POSITIONS crystal
Hg 0.500 0.000 0.000
Hg 0.000 0.500 0.000
Cs 0.500 0.500 0.500
Te 0.000 0.000 0.500
Mg 0.000 0.000 0.000
```

Calculated values
ΔE_f (raw)   -0.4160 eV per atom
Symmetry   No. 123

=====

no.,VASP energy (eV/atom),M_tot (μB/cell),Fermi-level density of states (states/eV/f.u.)
1,-0.858,0.00,3.5
2,-2.236,0.00,1.4
3,-2.454,0.00,1.8
4,-3.040,0.01,4.1
5,-1.772,0.00,2.8
6,-1.458,0.00,3.8
7,-1.414,0.00,2.9
8,-1.655,0.00,2.2